1.
DFT (PBE-GGA) results for a relaxed structure of TlGe2I5.

```
data_TlGe2I5
_space_group_name_H-M_alt 'C m c m'
_space_group_IT_number 63
_space_group_name_Hall '-C 2c 2'
_cell_length_a 5.9727
_cell_length_b 14.0962
_cell_length_c 15.4790
_cell_angle_alpha 90.00
_cell_angle_beta 90.00
_cell_angle_gamma 90.00
loop_
_atom_site_label
_atom_site_type_symbol
_atom_site_fract_x
_atom_site_fract_y
_atom_site_fract_z
Tl1 Tl 0.0000 0.0504 0.2500
Ge1 Ge 0.0000 0.3644 0.5573
I1 I 0.0000 0.1594 0.0471
I2 I 0.0000 0.3008 0.7500
I3 I 0.0000 0.4467 0.1196
```

Calculated values
Its uncorrected formation energy is -372 meV per atom. The value obtained for the total magnetization is 0.0 μB/f.u. The value obtained for the final energy is -22.327 eV/f.u.

***

2.
DFT (PBE-GGA) results for a relaxed structure of LaBeZn2.

```
data_LaBeZn2
_space_group_name_H-M_alt 'R 3 m'
_space_group_IT_number 160
_space_group_name_Hall 'R 3 -2"'
_cell_length_a 4.1186
_cell_length_b 4.1186
_cell_length_c 16.0292
_cell_angle_alpha 90.00
_cell_angle_beta 90.00
_cell_angle_gamma 120.00
loop_
_atom_site_label
_atom_site_type_symbol
_atom_site_fract_x
_atom_site_fract_y
_atom_site_fract_z
La1 La 0.0000 0.0000 0.0000
Be1 Be 0.0000 0.0000 0.8031
Zn1 Zn 0.0000 0.0000 0.1993
Zn2 Zn 0.0000 0.0000 0.4811
```

Calculated values
The value obtained for the total magnetization is 0.0 μB/f.u. The energy of formation is -0.55 eV/f.u. The value obtained for the final energy is -11.748 eV/f.u. For the density of states at the Fermi level, the calculation gives 0.8651 states/eV per atom.